(1)
VASP calculation (PBE) on a relaxed structure of Sm3MgNi3.

The magnetization is 0.00 μB per atom. For the calculated volume, the calculation gives 587.6 Å³/cell. Its formation energy is -2.19 eV per formula unit. As for the total energy: -5.04 eV/atom.

It has space group Cmcm (No. 63), with a = 4.281 Å, b = 10.128 Å, c = 13.551 Å, α = 90.00°, β = 90.00° and γ = 90.00°. The distinct sites, in fractional coordinates, are Sm at (0.000, 0.019, 0.250), Sm at (0.000, 0.299, 0.106), Mg at (0.000, 0.000, 0.000), Ni at (0.000, 0.273, 0.750) and Ni at (0.000, 0.408, 0.596).



(2)
VASP calculation (PBE) on a relaxed structure of Sm6MgNi2.

The magnetization is 0.00 μB per atom. For the calculated volume, the calculation gives 979.4 Å³/cell. Its formation energy is -1.60 eV per formula unit. As for the total energy: -4.79 eV/atom.

It has space group Immm (No. 71), with a = 9.473 Å, b = 9.951 Å, c = 10.390 Å, α = 90.00°, β = 90.00° and γ = 90.00°. The distinct sites, in fractional coordinates, are Sm at (0.000, 0.201, 0.232), Sm at (0.190, 0.500, 0.179), Sm at (0.208, 0.318, 0.500), Mg at (0.000, 0.000, 0.000), Mg at (0.000, 0.000, 0.500), Ni at (0.000, 0.344, 0.000) and Ni at (0.000, 0.500, 0.380).



(3)
VASP calculation (PBE) on a relaxed structure of SmMg11Ni.

The magnetization is 0.00 μB per atom. For the calculated volume, the calculation gives 577.1 Å³/cell. Its formation energy is -0.68 eV per formula unit. As for the total energy: -2.21 eV/atom.

It has space group C2/m (No. 12), with a = 5.598 Å, b = 14.402 Å, c = 7.624 Å, α = 90.00°, β = 110.16° and γ = 90.00°. The distinct sites, in fractional coordinates, are Sm at (0.000, 0.000, 0.000), Mg at (0.000, 0.000, 0.500), Mg at (0.094, 0.399, 0.221), Mg at (0.190, 0.168, 0.362), Mg at (0.250, 0.250, 0.000) and Ni at (0.000, 0.500, 0.500).



(4)
VASP calculation (PBE) on a relaxed structure of SmMg2Ni9.

The magnetization is 0.07 μB per atom. For the calculated volume, the calculation gives 486.3 Å³/cell. Its formation energy is -3.20 eV per formula unit. As for the total energy: -5.26 eV/atom.

It has space group R-3m (No. 166, hexagonal axes), with a = 4.8822 Å, b = 4.8822 Å, c = 23.5592 Å, α = 90.00°, β = 90.00° and γ = 120.00°. The distinct sites, in fractional coordinates, are Sm at (0.0000, 0.0000, 0.0000), Mg at (0.0000, 0.0000, 0.1441), Ni at (0.0000, 0.0000, 0.3335), Ni at (0.0000, 0.0000, 0.5000) and Ni at (0.0024, 0.5012, 0.9151).



What is the formula in the third record? SmMg11Ni